# 1
{
  "formula": "BaAgBr2Cl",
  "functional": "PBE",
  "state": "relaxed",
  "cell": [[-3.860, 3.860, 5.352], [3.860, -3.860, 5.352], [3.860, 3.860, -5.352]],
  "species": ["Ba", "Ba", "Ag", "Ag", "Br", "Br", "Br", "Br", "Cl", "Cl"],
  "frac_coords": [[0.250, 0.750, 0.500], [0.750, 0.250, 0.500], [0.000, 0.000, 0.000], [0.500, 0.500, 0.000], [0.175, 0.675, 0.849], [0.325, 0.175, 0.500], [0.675, 0.825, 0.500], [0.825, 0.325, 0.151], [0.250, 0.250, 0.000], [0.750, 0.750, 0.000]],
  "crystal_system": "tetragonal",
  "raw_formation_energy_ev_per_atom": -1.418,
  "spacegroup": "I4/mcm, No. 140"
}


# 2
{
  "formula": "LaHfAu",
  "functional": "PBE",
  "state": "relaxed",
  "cell": [[5.709, -2.379, 0.000], [5.709, 2.379, 0.000], [-3.220, 0.000, 5.515]],
  "species": ["La", "La", "Hf", "Hf", "Au", "Au"],
  "frac_coords": [[0.000, 0.000, 0.000], [0.623, 0.623, 0.821], [0.281, 0.281, 0.594], [0.905, 0.905, 0.412], [0.342, 0.342, 0.125], [0.649, 0.649, 0.379]],
  "crystal_system": "monoclinic",
  "de_polymorph_mev_per_atom": 155,
  "spacegroup": "Cm, No. 8"
}


# 3
{
  "formula": "SrGa2Br4",
  "functional": "PBE",
  "state": "relaxed",
  "cell": [[-3.058, 3.058, 7.359], [3.058, -3.058, 7.359], [3.058, 3.058, -7.359]],
  "species": ["Sr", "Ga", "Ga", "Br", "Br", "Br", "Br"],
  "frac_coords": [[0.000, 0.000, 0.000], [0.383, 0.383, 0.000], [0.617, 0.617, 0.000], [0.000, 0.500, 0.500], [0.204, 0.204, 0.000], [0.500, 0.000, 0.500], [0.796, 0.796, 0.000]],
  "crystal_system": "tetragonal",
  "de_polymorph_mev_per_atom": 78,
  "raw_formation_energy_ev_per_atom": -1.111,
  "spacegroup": "I4/mmm, No. 139"
}


Ordered V results: 31.91, 24.97, 39.32; unit Å³/atom.